No. 1
Computed, not measured: crystalline Ce2SmTh at its relaxed geometry at the GGA-PBE level of DFT.

- calculated density (Mg/m³) = 8.97
- space-group type = R3m (160)
- ΔE to the lowest computed polymorph (meV per atom) = 41.6
- size of the total moment (μB/atom) = 0.166
- ΔH_f (0 K) (eV/atom) = 0.0985

a b c (Å): 3.493 3.493 11.781
angles (deg): 81.47 81.47 60.00
Fractional coordinates of all 4 atoms:
Ce1 0.084 0.084 0.747
Ce2 0.249 0.249 0.254
Sm1 0.668 0.668 0.997
Th1 0.500 0.500 0.501

***

No. 2
Computed, not measured: crystalline CeSmThTl at its relaxed geometry at the GGA-PBE level of DFT.

- calculated density (Mg/m³) = 10.25
- space-group type = F-43m (216)
- size of the total moment (μB/atom) = 0.145
- ΔH_f (0 K) (eV/atom) = 0.0599

a b c (Å): 5.502 5.502 5.502
angles (deg): 60.00 60.00 60.00
Fractional coordinates of all 4 atoms:
Tl1 0.000 0.000 0.000
Ce1 0.500 0.500 0.500
Sm1 0.750 0.750 0.750
Th1 0.250 0.250 0.250

***

No. 3
Computed, not measured: crystalline CeSmTmTh at its relaxed geometry at the GGA-PBE level of DFT.

- calculated density (Mg/m³) = 9.21
- space-group type = R3m (160)
- ΔE to the lowest computed polymorph (meV per atom) = 0.0
- size of the total moment (μB/atom) = 0.044
- ΔH_f (0 K) (eV/atom) = 0.0354

a b c (Å): 3.549 3.549 11.607
angles (deg): 90.00 98.80 120.00
Fractional coordinates of all 4 atoms:
Ce1 0.303 0.550 0.869
Sm1 0.969 0.382 0.367
Tm1 0.473 0.135 0.622
Th1 0.132 0.964 0.112

***

No. 4
Computed, not measured: crystalline Ce2Sm3Tm6Th at its relaxed geometry at the GGA-PBE level of DFT.

- calculated density (Mg/m³) = 8.87
- space-group type = C2/m (12)
- size of the total moment (μB/atom) = 0.102
- ΔH_f (0 K) (eV/atom) = 0.0384

a b c (Å): 6.118 6.118 11.598
angles (deg): 95.05 95.05 120.00
Fractional coordinates of all 12 atoms:
Ce1 0.333 0.667 0.000
Ce2 0.667 0.333 0.000
Sm1 0.167 0.833 0.500
Sm2 0.833 0.167 0.500
Sm3 0.500 0.500 0.500
Tm1 0.918 0.586 0.755
Tm2 0.750 0.750 0.245
Tm3 0.082 0.414 0.245
Tm4 0.586 0.918 0.755
Tm5 0.250 0.250 0.755
Tm6 0.414 0.082 0.245
Th1 0.000 0.000 0.000

***

No. 5
Computed, not measured: crystalline CeSmTmTh at its relaxed geometry at the GGA-PBE level of DFT.

- calculated density (Mg/m³) = 9.02
- space-group type = F-43m (216)
- ΔE to the lowest computed polymorph (meV per atom) = 185.4
- size of the total moment (μB/atom) = 0.460
- ΔH_f (0 K) (eV/atom) = 0.2207

a b c (Å): 5.647 5.647 5.647
angles (deg): 60.00 60.00 60.00
Fractional coordinates of all 4 atoms:
Tm1 0.250 0.250 0.250
Sm1 0.500 0.500 0.500
Th1 0.000 0.000 0.000
Ce1 0.750 0.750 0.750

***

No. 6
Computed, not measured: crystalline Ce2Sm3Y6Th at its relaxed geometry at the GGA-PBE level of DFT.

- calculated density (Mg/m³) = 6.45
- space-group type = C2/m (12)
- size of the total moment (μB/atom) = 0.120
- ΔH_f (0 K) (eV/atom) = 0.0431

a b c (Å): 6.193 6.193 11.783
angles (deg): 95.03 95.03 120.00
Fractional coordinates of all 12 atoms:
Ce1 0.333 0.667 0.000
Ce2 0.667 0.333 0.000
Sm1 0.167 0.833 0.500
Sm2 0.833 0.167 0.500
Sm3 0.500 0.500 0.500
Y1 0.918 0.586 0.755
Y2 0.750 0.750 0.245
Y3 0.082 0.414 0.245
Y4 0.586 0.918 0.755
Y5 0.250 0.250 0.755
Y6 0.414 0.082 0.245
Th1 0.000 0.000 0.000

***

No. 7
Computed, not measured: crystalline CeSmThZr at its relaxed geometry at the GGA-PBE level of DFT.

- calculated density (Mg/m³) = 8.72
- space-group type = F-43m (216)
- size of the total moment (μB/atom) = 0.198
- ΔH_f (0 K) (eV/atom) = 0.2302

a b c (Å): 5.488 5.488 5.488
angles (deg): 60.00 60.00 60.00
Fractional coordinates of all 4 atoms:
Zr1 0.500 0.500 0.500
Ce1 0.250 0.250 0.250
Sm1 0.000 0.000 0.000
Th1 0.750 0.750 0.750

***

No. 8
Computed, not measured: crystalline CeSmTi at its relaxed geometry at the GGA-PBE level of DFT.

- calculated density (Mg/m³) = 7.13
- space-group type = P4/nmm (129)
- size of the total moment (μB/atom) = 0.000
- ΔH_f (0 K) (eV/atom) = 0.1470

a b c (Å): 3.539 3.539 12.579
angles (deg): 90.00 90.00 90.00
Fractional coordinates of all 6 atoms:
Sm1 0.000 0.500 0.608
Sm2 0.500 0.000 0.392
Ce1 0.500 0.000 0.800
Ce2 0.000 0.500 0.200
Ti1 0.000 0.500 0.950
Ti2 0.500 0.000 0.050